Record 1
# Pm16Dy7Y6

A relaxed Pm16Dy7Y6 crystal (PBE, Alexandria via LeMat-Bulk).

abc: 11.2780 11.2780 11.2780
angles: 60.00 60.00 60.00
Closest atoms and distances in Å follow each position.
Element x y z (fractional)
Pm 0.8759 0.8759 0.3724  4 Dy 3.43-3.46, 3 Pm 3.64, 3 Y 3.66
Pm 0.8759 0.8759 0.8759  4 Dy 3.43-3.46, 3 Pm 3.64, 3 Y 3.66
Pm 0.8759 0.3724 0.8759  4 Dy 3.43-3.46, 3 Pm 3.64, 3 Y 3.66
Pm 0.3724 0.8759 0.8759  4 Dy 3.43-3.46, 3 Pm 3.64, 3 Y 3.66
Pm 0.1241 0.1241 0.1241  4 Dy 3.43-3.46, 3 Pm 3.64, 3 Y 3.66
Pm 0.1241 0.1241 0.6276  4 Dy 3.43-3.46, 3 Pm 3.64, 3 Y 3.66
Pm 0.1241 0.6276 0.1241  4 Dy 3.43-3.46, 3 Pm 3.64, 3 Y 3.66
Pm 0.6276 0.1241 0.1241  4 Dy 3.43-3.46, 3 Pm 3.64, 3 Y 3.66
Pm 0.6511 0.6511 0.0466  3 Dy 3.28, 3 Y 3.62, 3 Pm 3.64
Pm 0.6511 0.6511 0.6511  3 Dy 3.28, 3 Y 3.62, 3 Pm 3.64
Pm 0.6511 0.0466 0.6511  3 Dy 3.28, 3 Y 3.62, 3 Pm 3.64
Pm 0.0466 0.6511 0.6511  3 Dy 3.28, 3 Y 3.62, 3 Pm 3.64
Pm 0.3489 0.3489 0.3489  3 Dy 3.28, 3 Y 3.62, 3 Pm 3.64
Pm 0.3489 0.3489 0.9534  3 Dy 3.28, 3 Y 3.62, 3 Pm 3.64
Pm 0.3489 0.9534 0.3489  3 Dy 3.28, 3 Y 3.62, 3 Pm 3.64
Pm 0.9534 0.3489 0.3489  3 Dy 3.28, 3 Y 3.62, 3 Pm 3.64
Dy 0.0000 0.0000 0.0000  8 Pm 3.43
Dy 0.5000 0.0000 0.5000  8 Pm 3.28-3.46
Dy 0.0000 0.5000 0.0000  8 Pm 3.28-3.46
Dy 0.0000 0.5000 0.5000  8 Pm 3.28-3.46
Dy 0.5000 0.0000 0.0000  8 Pm 3.28-3.46
Dy 0.0000 0.0000 0.5000  8 Pm 3.28-3.46
Dy 0.5000 0.5000 0.0000  8 Pm 3.28-3.46
Y 0.2716 0.7284 0.2716  8 Pm 3.62-3.66, 4 Dy 4.00
Y 0.7284 0.2716 0.7284  8 Pm 3.62-3.66, 4 Dy 4.00
Y 0.7284 0.2716 0.2716  8 Pm 3.62-3.66, 4 Dy 4.00
Y 0.2716 0.7284 0.7284  8 Pm 3.62-3.66, 4 Dy 4.00
Y 0.7284 0.7284 0.2716  8 Pm 3.62-3.66, 4 Dy 4.00
Y 0.2716 0.2716 0.7284  8 Pm 3.62-3.66, 4 Dy 4.00

Values from the calculation:
SG: No. 225
N(E_F): 44.14 states/eV per cell
density: 6.53 g cm⁻³
total magnetic moment: 0.00 μB/cell


Record 2
# Th4NiCSe2

A relaxed Th4NiCSe2 crystal (PBE, Alexandria via LeMat-Bulk).

abc: 3.9100 7.0676 7.3606
angles: 108.07 90.00 90.00
Closest atoms and distances in Å follow each position.
Element x y z (fractional)
Th 0.5000 0.2457 0.2145  1 C 2.74, 2 Ni 2.76, 2 Se 3.02
Th 0.5000 0.7543 0.7855  1 C 2.74, 2 Ni 2.76, 2 Se 3.02
Th 0.0000 0.2825 0.7918  2 C 2.66, 1 Ni 2.87
Th 0.0000 0.7175 0.2082  2 C 2.66, 1 Ni 2.87
Ni 0.0000 0.0000 0.0000  6 Th 2.76-2.87
C 0.5000 0.5000 0.0000  6 Th 2.66-2.74
Se 0.5000 0.0000 0.5000  6 Th 3.11-3.12
Se 0.0000 0.5000 0.5000  6 Th 3.00-3.02

Values from the calculation:
SG: No. 10
N(E_F): 5.20 states/eV per cell
density: 9.93 g cm⁻³
total magnetic moment: 0.00 μB/cell


Record 3
# Er2Ag3Pb3

A relaxed Er2Ag3Pb3 crystal (PBE, Alexandria via LeMat-Bulk).

abc: 4.7939 4.6608 8.6266
angles: 90.00 90.00 90.00
Closest atoms and distances in Å follow each position.
Element x y z (fractional)
Er 0.0000 0.0000 0.7534  6 Pb 3.16-3.24, 6 Ag 3.20-3.35
Er 0.0000 0.0000 0.2466  6 Pb 3.16-3.24, 6 Ag 3.20-3.35
Ag 0.5000 0.5000 0.7675  2 Ag 3.07, 6 Pb 3.13-3.33, 4 Er 3.35
Ag 0.5000 0.5000 0.2325  2 Ag 3.07, 6 Pb 3.13-3.33, 4 Er 3.35
Ag 0.5000 0.0000 0.0000  4 Ag 3.07, 4 Er 3.20, 4 Pb 3.34
Pb 0.5000 0.0000 0.5000  4 Er 3.24, 4 Ag 3.28, 4 Pb 3.34
Pb 0.0000 0.5000 0.0000  8 Ag 3.13-3.34, 4 Er 3.16
Pb 0.0000 0.5000 0.5000  4 Er 3.20, 4 Ag 3.33, 4 Pb 3.34

Values from the calculation:
SG: No. 47
N(E_F): 2.40 states/eV per cell
density: 11.02 g cm⁻³
total magnetic moment: 0.00 μB/cell


Record 4
# Tb5TlHg3

A relaxed Tb5TlHg3 crystal (PBE, Alexandria via LeMat-Bulk).

abc: 6.7514 9.1799 9.1794
angles: 120.00 90.00 90.00
Closest atoms and distances in Å follow each position.
Element x y z (fractional)
Tb 0.0000 0.6667 0.3333  6 Hg 3.35, 8 Tb 3.38-3.65
Tb 0.5000 0.3333 0.6667  6 Hg 3.35, 8 Tb 3.38-3.65
Tb 0.0000 0.3333 0.6667  6 Hg 3.35, 8 Tb 3.38-3.65
Tb 0.5000 0.6667 0.3333  6 Hg 3.35, 8 Tb 3.38-3.65
Tb 0.7500 0.7032 0.7032  3 Hg 3.03-3.13, 2 Tl 3.20
Tb 0.7500 0.0000 0.2968  3 Hg 3.03-3.13, 2 Tl 3.20
Tb 0.7500 0.2968 0.0000  3 Hg 3.03-3.13, 2 Tl 3.20
Tb 0.2500 0.2968 0.2968  3 Hg 3.03-3.13, 2 Tl 3.20
Tb 0.2500 0.0000 0.7032  3 Hg 3.03-3.13, 2 Tl 3.20
Tb 0.2500 0.7032 0.0000  3 Hg 3.03-3.13, 2 Tl 3.20
Tl 0.0000 0.0000 0.0000  6 Tb 3.20, 2 Tl 3.38
Tl 0.5000 0.0000 0.0000  6 Tb 3.20, 2 Tl 3.38
Hg 0.7500 0.3727 0.3727  7 Tb 3.03-3.35
Hg 0.7500 0.0000 0.6273  7 Tb 3.03-3.35
Hg 0.7500 0.6272 0.0000  7 Tb 3.03-3.35
Hg 0.2500 0.6273 0.6273  7 Tb 3.03-3.35
Hg 0.2500 0.0000 0.3727  7 Tb 3.03-3.35
Hg 0.2500 0.3728 0.0000  7 Tb 3.03-3.35

Values from the calculation:
SG: No. 193
N(E_F): 18.48 states/eV per cell
density: 10.79 g cm⁻³
total magnetic moment: 0.00 μB/cell


Uncorrected energy / eV for the cell shown: -141.10; -59.41; -30.65; -59.64